(1)
The following is a GGA-PBE calculation of a relaxed NaPa3P4N12 crystal, from Alexandria via LeMat-Bulk.

Properties
Total magnetic moment = 0.0 μB/f.u.
Density of states at the Fermi level = 0.000 states/eV/atom
Formation energy without anion corrections = -0.767 eV/atom

The structure in CIF format:
```
data_NaPa3P4N12
_space_group_name_H-M_alt 'R 3 2'
_space_group_IT_number 155
_space_group_name_Hall 'R 3 2"'
_cell_length_a 10.9082
_cell_length_b 10.9082
_cell_length_c 8.9695
_cell_angle_alpha 90.00
_cell_angle_beta 90.00
_cell_angle_gamma 120.00
loop_
_atom_site_label
_atom_site_type_symbol
_atom_site_fract_x
_atom_site_fract_y
_atom_site_fract_z
Na1 Na 0.0000 0.0000 0.0000
Pa1 Pa 0.0000 0.5447 0.0000
P1 P 0.0000 0.0000 0.5000
P2 P 0.0000 0.4526 0.5000
N1 N 0.0000 0.5992 0.5000
N2 N 0.0000 0.8552 0.5000
N3 N 0.0219 0.2125 0.1978
```

=====

(2)
The following is a GGA-PBE calculation of a relaxed CaAsP crystal, from Alexandria via LeMat-Bulk.

Properties
Total magnetic moment = 0.0 μB/f.u.
E_form = -62.80 kJ/mol of atoms
Density of states at the Fermi level = 0.184 states/eV/atom

The structure in CIF format:
```
data_CaAsP
_space_group_name_H-M_alt 'P m m 2'
_space_group_IT_number 25
_cell_length_a 3.727
_cell_length_b 4.520
_cell_length_c 4.200
_cell_angle_alpha 90.00
_cell_angle_beta 90.00
_cell_angle_gamma 90.00
loop_
_space_group_symop_operation_xyz
'x,y,z'
'-x,-y,z'
'-x,y,z'
'x,-y,z'
loop_
_atom_site_label
_atom_site_type_symbol
_atom_site_fract_x
_atom_site_fract_y
_atom_site_fract_z
Ca1 Ca 0.000 0.000 0.000
As1 As 0.000 0.500 0.496
P1 P 0.500 0.500 0.116
```